A geometry-optimized Sr2BePt structure. Source: the Alexandria database, functional PBE.

Final energy (eV/atom): -3.19
Energy of formation (kJ/mol of atoms): 9
M_tot (μB per atom): 0.000

Geometry as CIF:
```
data_Sr2BePt
_symmetry_space_group_name_H-M 'I -4 m 2'
_symmetry_Int_Tables_number 119
_symmetry_space_group_name_Hall 'I -4 -2'
_cell_length_a 4.486
_cell_length_b 4.486
_cell_length_c 9.998
_cell_angle_alpha 90.00
_cell_angle_beta 90.00
_cell_angle_gamma 90.00
loop_
_atom_site_label
_atom_site_type_symbol
_atom_site_fract_x
_atom_site_fract_y
_atom_site_fract_z
_atom_site_occupancy
Sr1 Sr 0.000 0.000 0.000 1
Sr2 Sr 0.000 0.500 0.250 1
Be1 Be 0.000 0.500 0.750 1
Pt1 Pt 0.000 0.000 0.500 1
```